i | Density functional theory data (PBE) for an optimized crystal structure of VGaAs.

Structure (CIF):
```
data_VGaAs
_chemical_formula_sum 'V4 Ga4 As4'
_cell_length_a 11.7369
_cell_length_b 2.8069
_cell_length_c 6.5444
_cell_angle_alpha 90.00
_cell_angle_beta 113.47
_cell_angle_gamma 90.00
_space_group_name_H-M_alt 'C 1 2/m 1'
_space_group_IT_number 12
loop_
_space_group_symop_operation_xyz
'x,y,z'
'-x,-y,-z'
'-x,y,-z'
'x,-y,z'
'x+1/2,y+1/2,z'
'-x+1/2,-y+1/2,-z'
'-x+1/2,y+1/2,-z'
'x+1/2,-y+1/2,z'
loop_
_atom_site_label
_atom_site_fract_x
_atom_site_fract_y
_atom_site_fract_z
V1 0.1343 0.0000 0.4886
Ga1 0.0731 0.5000 0.7621
As1 0.1644 0.5000 0.1861
```


ii | Density functional theory data (PBE) for an optimized crystal structure of VGaAs.

Structure (CIF):
```
data_VGaAs
_chemical_formula_sum 'V1 Ga1 As1'
_cell_length_a 4.4257
_cell_length_b 4.4257
_cell_length_c 2.8110
_cell_angle_alpha 90.00
_cell_angle_beta 90.00
_cell_angle_gamma 120.00
_space_group_name_H-M_alt 'P 3 m 1'
_space_group_IT_number 156
loop_
_space_group_symop_operation_xyz
'x,y,z'
'-y,x-y,z'
'-x+y,-x,z'
'-y,-x,z'
'-x+y,y,z'
'x,x-y,z'
loop_
_atom_site_label
_atom_site_fract_x
_atom_site_fract_y
_atom_site_fract_z
V1 0.0000 0.0000 0.0000
Ga1 0.3333 0.6667 0.5002
As1 0.6667 0.3333 0.0020
```


Energy above the most stable structure, in kJ/mol of atoms: i 0.0; ii 30.6